[1]
Entry from Alexandria: a relaxed structure of Tb2YTl (PBE-GGA).

Cell: 7.765 7.765 7.765 Å, 90.00 90.00 90.00°
Space group Fm-3m (No. 225)
Symmetry-distinct sites (fractional):
Tb 0.250 0.250 0.250 x8
Y 0.000 0.000 0.000 x4
Tl 0.000 0.000 0.500 x4

Results
- DFT formation energy: -0.0235 eV per atom
- Theoretical density: 8.7 g cm⁻³

---

[2]
Entry from Alexandria: a relaxed structure of Ca2TlSnIr (PBE-GGA).

Cell: 5.531 5.531 5.079 Å, 90.00 90.00 90.00°
Space group P4/mmm (No. 123)
Symmetry-distinct sites (fractional):
Ca 0.000 0.500 0.000 x2
Tl 0.000 0.000 0.500 x1
Sn 0.500 0.500 0.500 x1
Ir 0.500 0.500 0.000 x1

Results
- DFT formation energy: -0.3357 eV per atom
- Theoretical density: 6.4 g cm⁻³

---

[3]
Entry from Alexandria: a relaxed structure of BaGa2HgOs (PBE-GGA).

Cell: 4.877 4.877 5.379 Å, 90.00 90.00 90.00°
Space group P4/mmm (No. 123)
Symmetry-distinct sites (fractional):
Ba 0.000 0.000 0.000 x1
Ga 0.000 0.500 0.500 x2
Hg 0.500 0.500 0.000 x1
Os 0.500 0.500 0.500 x1

Results
- DFT formation energy: -0.2813 eV per atom
- Theoretical density: 8.7 g cm⁻³

---

[4]
Entry from Alexandria: a relaxed structure of TlSiNi2 (PBE-GGA).

Cell: 2.998 2.867 7.114 Å, 90.00 101.47 90.00°
Space group P2/m (No. 10)
Symmetry-distinct sites (fractional):
Tl 0.000 0.000 0.000 x1
Si 0.000 0.000 0.500 x1
Ni 0.416 0.500 0.324 x2

Results
- Theoretical density: 9.7 g cm⁻³
- Raw formation energy: -0.0653 eV/atom

---

[5]
Entry from Alexandria: a relaxed structure of YMg2W (PBE-GGA).

Cell: 10.629 2.987 5.458 Å, 90.00 98.55 90.00°
Space group C2/m (No. 12)
Symmetry-distinct sites (fractional):
Y 0.000 0.000 0.000 x2
Mg 0.237 0.000 0.722 x4
W 0.000 0.500 0.500 x2

Results
- DFT formation energy: 0.4206 eV per atom
- Theoretical density: 6.2 g cm⁻³

---

[6]
Entry from Alexandria: a relaxed structure of ThZrNi2 (PBE-GGA).

Cell: 3.310 3.310 6.894 Å, 90.00 90.00 90.00°
Space group P4/mmm (No. 123)
Symmetry-distinct sites (fractional):
Th 0.000 0.000 0.000 x1
Zr 0.000 0.000 0.500 x1
Ni 0.500 0.500 0.297 x2

Results
- DFT formation energy: -0.3124 eV per atom
- Theoretical density: 9.7 g cm⁻³

---

[7]
Entry from Alexandria: a relaxed structure of K3Dy2UTe6 (PBE-GGA).

Cell: 7.823 13.552 8.660 Å, 90.00 107.53 90.00°
Space group C2/m (No. 12)
Symmetry-distinct sites (fractional):
K 0.000 0.000 0.000 x2
K 0.000 0.334 0.000 x4
Dy 0.000 0.167 0.500 x4
U 0.000 0.500 0.500 x2
Te 0.232 0.000 0.710 x4
Te 0.239 0.331 0.710 x8

Results
- Theoretical density: 5.5 g cm⁻³
- Raw formation energy: -1.2024 eV/atom

---

[8]
Entry from Alexandria: a relaxed structure of Re2Mo2As (PBE-GGA).

Cell: 4.174 4.174 10.869 Å, 90.00 90.00 90.00°
Space group I4/mmm (No. 139)
Symmetry-distinct sites (fractional):
Re 0.000 0.000 0.119 x4
Mo 0.000 0.500 0.250 x4
As 0.000 0.000 0.500 x2

Results
- DFT formation energy: 0.6770 eV per atom
- Theoretical density: 11.2 g cm⁻³